[1]
An optimized crystal structure of Sr3WBr. Source: Alexandria, functional PBE.

Lattice parameters (Å, degrees): 5.842 5.842 5.842 90.00 90.00 90.00
Element x y z (fractional)
Sr: 0.000 0.000 0.500
Sr: 0.000 0.500 0.000
Sr: 0.500 0.000 0.000
W: 0.000 0.000 0.000
Br: 0.500 0.500 0.500

The calculation puts the total energy at -3.355 eV per atom. The polymorph energy (0 for the lowest one) comes out at 0.0000 eV per atom.

***

[2]
An optimized crystal structure of SrW3Br. Source: Alexandria, functional PBE.

Lattice parameters (Å, degrees): 4.768 4.768 4.768 90.00 90.00 90.00
Element x y z (fractional)
Sr: 0.000 0.000 0.000
W: 0.000 0.500 0.500
W: 0.500 0.000 0.500
W: 0.500 0.500 0.000
Br: 0.500 0.500 0.500

The calculation puts the total energy at -6.460 eV per atom. The polymorph energy (0 for the lowest one) comes out at 0.0000 eV per atom.

***

[3]
An optimized crystal structure of SrWBr2. Source: Alexandria, functional PBE.

Lattice parameters (Å, degrees): 3.375 4.363 6.407 90.00 90.00 90.00
Element x y z (fractional)
Sr: 0.000 0.000 0.000
W: 0.500 0.000 0.500
Br: 0.500 0.500 0.264
Br: 0.500 0.500 0.736

The calculation puts the total energy at -4.359 eV per atom. The polymorph energy (0 for the lowest one) comes out at 0.1228 eV per atom.

***

Question: What is the formula in the second record?
Answer: SrW3Br

***

Question: Number 2 is which compound?
Answer: SrW3Br

***

Question: total energy of number 1 (Sr3WBr)?
Answer: -3.355 eV per atom

***

Question: total energy of number 3 (SrWBr2)?
Answer: -4.359 eV per atom